(1)
Computed, not measured: a relaxed structure of Tm2Cd3Pd2 at the PBE-GGA level of DFT.

Calculated values
For the energy relative to the elements, the calculation gives -57.3 kJ/mol of atoms. The value obtained for the relative energy among the computed polymorphs is 0 meV per atom. The calculation puts the density of states at the Fermi level at 0.4387 states/eV/atom. For the raw total energy, the calculation gives -3.75 eV per atom.

Cell lengths 9.6963, 4.4573, 7.3942 Å; angles 90.00, 109.93, 90.00 degrees
Space group C2/m (No. 12)
Inequivalent atoms, fractional coordinates:
Tm (0.1395, 0.0000, 0.2847) [4 per cell]
Cd (0.0000, 0.5000, 0.5000) [2 per cell]
Cd (0.1284, 0.5000, 0.9404) [4 per cell]
Pd (0.1569, 0.0000, 0.6892) [4 per cell]


(2)
Computed, not measured: a relaxed structure of Tm2Cd3Pd8 at the PBE-GGA level of DFT.

Calculated values
For the energy relative to the elements, the calculation gives -33.6 kJ/mol of atoms. The calculation puts the density of states at the Fermi level at 0.4853 states/eV/atom. For the raw total energy, the calculation gives -4.44 eV per atom.

Cell lengths 5.3485, 5.3485, 30.4127 Å; angles 90.00, 90.00, 120.00 degrees
Space group R-3m (No. 166, hexagonal axes)
Inequivalent atoms, fractional coordinates:
Tm (0.0000, 0.0000, 0.1330) [6 per cell]
Cd (0.0000, 0.0000, 0.3129) [6 per cell]
Cd (0.0000, 0.0000, 0.5000) [3 per cell]
Pd (0.0000, 0.0000, 0.2221) [6 per cell]
Pd (0.0031, 0.5015, 0.2732) [18 per cell]


(3)
Computed, not measured: a relaxed structure of TmCdPd14 at the PBE-GGA level of DFT.

Calculated values
For the energy relative to the elements, the calculation gives -26.6 kJ/mol of atoms. The calculation puts the density of states at the Fermi level at 1.8009 states/eV/atom. For the raw total energy, the calculation gives -5.16 eV per atom.

Cell lengths 5.6726, 5.6726, 7.9937 Å; angles 90.00, 90.00, 90.00 degrees
Space group P4/mmm (No. 123)
Inequivalent atoms, fractional coordinates:
Tm (0.0000, 0.0000, 0.0000) [1 per cell]
Cd (0.5000, 0.5000, 0.0000) [1 per cell]
Pd (0.0000, 0.0000, 0.5000) [1 per cell]
Pd (0.0000, 0.5000, 0.0000) [2 per cell]
Pd (0.0000, 0.5000, 0.5000) [2 per cell]
Pd (0.2500, 0.2500, 0.2552) [8 per cell]
Pd (0.5000, 0.5000, 0.5000) [1 per cell]


(4)
Computed, not measured: a relaxed structure of Tm4CdPd12 at the PBE-GGA level of DFT.

Calculated values
For the energy relative to the elements, the calculation gives -76.0 kJ/mol of atoms. The calculation puts the density of states at the Fermi level at 0.1518 states/eV/atom. For the raw total energy, the calculation gives -5.56 eV per atom.

Cell lengths 8.5003, 8.5003, 8.5003 Å; angles 90.00, 90.00, 90.00 degrees
Space group Im-3m (No. 229)
Inequivalent atoms, fractional coordinates:
Tm (0.2500, 0.2500, 0.2500) [8 per cell]
Cd (0.0000, 0.0000, 0.0000) [2 per cell]
Pd (0.0000, 0.0000, 0.3012) [12 per cell]
Pd (0.0000, 0.2500, 0.5000) [12 per cell]


(5)
Computed, not measured: a relaxed structure of Tm3Cd4Pd4 at the PBE-GGA level of DFT.

Calculated values
For the energy relative to the elements, the calculation gives -57.2 kJ/mol of atoms. The calculation puts the density of states at the Fermi level at 0.4504 states/eV/atom. For the raw total energy, the calculation gives -4.03 eV per atom.

Cell lengths 3.6193, 8.0525, 16.1148 Å; angles 90.00, 90.00, 90.00 degrees
Space group Immm (No. 71)
Inequivalent atoms, fractional coordinates:
Tm (0.0000, 0.0000, 0.0000) [2 per cell]
Tm (0.0000, 0.5000, 0.1067) [4 per cell]
Cd (0.0000, 0.3149, 0.3361) [8 per cell]
Pd (0.0000, 0.0000, 0.2575) [4 per cell]
Pd (0.0000, 0.1986, 0.5000) [4 per cell]


(6)
Computed, not measured: a relaxed structure of Tm6CdPd at the PBE-GGA level of DFT.

Calculated values
For the energy relative to the elements, the calculation gives -0.5 kJ/mol of atoms. The calculation puts the density of states at the Fermi level at 1.3668 states/eV/atom. For the raw total energy, the calculation gives -4.12 eV per atom.

Cell lengths 6.9505, 6.9539, 7.1022 Å; angles 90.26, 119.04, 119.74 degrees
Space group P-1 (No. 2)
Inequivalent atoms, fractional coordinates:
Tm (0.0304, 0.0682, 0.2546) [2 per cell]
Tm (0.2907, 0.7231, 0.2536) [2 per cell]
Tm (0.3099, 0.5347, 0.7459) [2 per cell]
Cd (0.5000, 0.0000, 0.0000) [1 per cell]
Pd (0.5000, 0.5000, 0.5000) [1 per cell]


(7)
Computed, not measured: a relaxed structure of Tm4CdPd5 at the PBE-GGA level of DFT.

Calculated values
For the energy relative to the elements, the calculation gives -81.9 kJ/mol of atoms. The calculation puts the density of states at the Fermi level at 0.6880 states/eV/atom. For the raw total energy, the calculation gives -5.33 eV per atom.

Cell lengths 3.4588, 3.4588, 16.7913 Å; angles 90.00, 90.00, 90.00 degrees
Space group P4/mmm (No. 123)
Inequivalent atoms, fractional coordinates:
Tm (0.0000, 0.0000, 0.1034) [2 per cell]
Tm (0.0000, 0.0000, 0.3116) [2 per cell]
Cd (0.0000, 0.0000, 0.5000) [1 per cell]
Pd (0.5000, 0.5000, 0.0000) [1 per cell]
Pd (0.5000, 0.5000, 0.2084) [2 per cell]
Pd (0.5000, 0.5000, 0.4068) [2 per cell]


(8)
Computed, not measured: a relaxed structure of Tm8CdPd2 at the PBE-GGA level of DFT.

Calculated values
For the energy relative to the elements, the calculation gives -28.7 kJ/mol of atoms. The calculation puts the density of states at the Fermi level at 1.3584 states/eV/atom. For the raw total energy, the calculation gives -4.58 eV per atom.

Cell lengths 8.5570, 13.3862, 5.4065 Å; angles 90.00, 105.42, 90.00 degrees
Space group C2/m (No. 12)
Inequivalent atoms, fractional coordinates:
Tm (0.0000, 0.2407, 0.0000) [4 per cell]
Tm (0.1127, 0.5000, 0.8074) [4 per cell]
Tm (0.2050, 0.1249, 0.5872) [8 per cell]
Cd (0.0000, 0.0000, 0.0000) [2 per cell]
Pd (0.0000, 0.3051, 0.5000) [4 per cell]


(9)
Computed, not measured: a relaxed structure of Tm3Cd2Pd4 at the PBE-GGA level of DFT.

Calculated values
For the energy relative to the elements, the calculation gives -67.9 kJ/mol of atoms. The calculation puts the density of states at the Fermi level at 0.4162 states/eV/atom. For the raw total energy, the calculation gives -4.71 eV per atom.

Cell lengths 9.4837, 4.3947, 9.0977 Å; angles 90.00, 90.42, 90.00 degrees
Space group C2/m (No. 12)
Inequivalent atoms, fractional coordinates:
Tm (0.0000, 0.0000, 0.0000) [2 per cell]
Tm (0.1347, 0.5000, 0.6099) [4 per cell]
Cd (0.1653, 0.5000, 0.2167) [4 per cell]
Pd (0.0724, 0.0000, 0.3733) [4 per cell]
Pd (0.1977, 0.5000, 0.9114) [4 per cell]


(10)
Computed, not measured: a relaxed structure of Tm4CdPd2 at the PBE-GGA level of DFT.

Calculated values
For the energy relative to the elements, the calculation gives -51.3 kJ/mol of atoms. The value obtained for the relative energy among the computed polymorphs is 0 meV per atom. The calculation puts the density of states at the Fermi level at 0.6332 states/eV/atom. For the raw total energy, the calculation gives -4.70 eV per atom.

Cell lengths 4.9125, 4.9125, 7.1021 Å; angles 90.00, 90.00, 90.00 degrees
Space group P4/mmm (No. 123)
Inequivalent atoms, fractional coordinates:
Tm (0.0000, 0.5000, 0.2394) [4 per cell]
Cd (0.0000, 0.0000, 0.5000) [1 per cell]
Pd (0.0000, 0.0000, 0.0000) [1 per cell]
Pd (0.5000, 0.5000, 0.5000) [1 per cell]


(11)
Computed, not measured: a relaxed structure of Tm5CdPd2 at the PBE-GGA level of DFT.

Calculated values
For the energy relative to the elements, the calculation gives -53.9 kJ/mol of atoms. The calculation puts the density of states at the Fermi level at 1.0914 states/eV/atom. For the raw total energy, the calculation gives -4.77 eV per atom.

Cell lengths 7.7568, 7.7568, 13.2628 Å; angles 90.00, 90.00, 90.00 degrees
Space group I4/mcm (No. 140)
Inequivalent atoms, fractional coordinates:
Tm (0.0000, 0.0000, 0.0000) [4 per cell]
Tm (0.1584, 0.3416, 0.1407) [16 per cell]
Cd (0.0000, 0.0000, 0.2500) [4 per cell]
Pd (0.1357, 0.3643, 0.5000) [8 per cell]


(12)
Computed, not measured: a relaxed structure of Tm3Cd2Pd6 at the PBE-GGA level of DFT.

Calculated values
For the energy relative to the elements, the calculation gives -58.4 kJ/mol of atoms. The calculation puts the density of states at the Fermi level at 0.3745 states/eV/atom. For the raw total energy, the calculation gives -4.82 eV per atom.

Cell lengths 4.1642, 4.1642, 25.5512 Å; angles 90.00, 90.00, 90.00 degrees
Space group I4/mmm (No. 139)
Inequivalent atoms, fractional coordinates:
Tm (0.0000, 0.0000, 0.0000) [2 per cell]
Tm (0.0000, 0.0000, 0.1997) [4 per cell]
Cd (0.0000, 0.0000, 0.4469) [4 per cell]
Pd (0.0000, 0.0000, 0.3075) [4 per cell]
Pd (0.0000, 0.5000, 0.1205) [8 per cell]


(13)
Computed, not measured: a relaxed structure of Tm3CdPd4 at the PBE-GGA level of DFT.

Calculated values
For the energy relative to the elements, the calculation gives -59.0 kJ/mol of atoms. The value obtained for the relative energy among the computed polymorphs is 235 meV per atom. The calculation puts the density of states at the Fermi level at 0.6652 states/eV/atom. For the raw total energy, the calculation gives -5.00 eV per atom.

Cell lengths 5.7810, 10.2633, 5.7002 Å; angles 90.00, 90.00, 90.00 degrees
Space group Imm2 (No. 44)
Inequivalent atoms, fractional coordinates:
Tm (0.0000, 0.0000, 0.0000) [2 per cell]
Tm (0.0000, 0.2983, 0.7429) [4 per cell]
Cd (0.0000, 0.5000, 0.3372) [2 per cell]
Pd (0.0000, 0.2361, 0.2387) [4 per cell]
Pd (0.2316, 0.0000, 0.4494) [4 per cell]


(14)
Computed, not measured: a relaxed structure of Tm6Cd2Pd at the PBE-GGA level of DFT.

Calculated values
For the energy relative to the elements, the calculation gives -10.2 kJ/mol of atoms. The calculation puts the density of states at the Fermi level at 1.2261 states/eV/atom. For the raw total energy, the calculation gives -3.87 eV per atom.

Cell lengths 15.6214, 7.0921, 5.0119 Å; angles 90.00, 108.64, 90.00 degrees
Space group C2/m (No. 12)
Inequivalent atoms, fractional coordinates:
Tm (0.0000, 0.2366, 0.0000) [4 per cell]
Tm (0.1589, 0.2438, 0.6585) [8 per cell]
Cd (0.1670, 0.5000, 0.1666) [4 per cell]
Pd (0.0000, 0.0000, 0.5000) [2 per cell]


(15)
Computed, not measured: a relaxed structure of Tm6CdPd2 at the PBE-GGA level of DFT.

Calculated values
For the energy relative to the elements, the calculation gives -49.5 kJ/mol of atoms. The calculation puts the density of states at the Fermi level at 1.0356 states/eV/atom. For the raw total energy, the calculation gives -4.75 eV per atom.

Cell lengths 9.3484, 9.5643, 10.2824 Å; angles 90.00, 90.00, 90.00 degrees
Space group Immm (No. 71)
Inequivalent atoms, fractional coordinates:
Tm (0.0000, 0.1972, 0.2387) [8 per cell]
Tm (0.2018, 0.5000, 0.1732) [8 per cell]
Tm (0.2119, 0.3165, 0.5000) [8 per cell]
Cd (0.0000, 0.0000, 0.0000) [2 per cell]
Cd (0.0000, 0.0000, 0.5000) [2 per cell]
Pd (0.0000, 0.3432, 0.0000) [4 per cell]
Pd (0.0000, 0.5000, 0.3664) [4 per cell]


(16)
Computed, not measured: a relaxed structure of TmCd3Pd2 at the PBE-GGA level of DFT.

Calculated values
For the energy relative to the elements, the calculation gives -47.1 kJ/mol of atoms. The calculation puts the density of states at the Fermi level at 0.2791 states/eV/atom. For the raw total energy, the calculation gives -3.42 eV per atom.

Cell lengths 3.8799, 8.8933, 7.1850 Å; angles 90.00, 90.00, 90.00 degrees
Space group Pmc2_1 (No. 26)
Inequivalent atoms, fractional coordinates:
Tm (0.0000, 0.0923, 0.0000) [2 per cell]
Cd (0.0000, 0.3184, 0.5979) [2 per cell]
Cd (0.5000, 0.1887, 0.3287) [2 per cell]
Cd (0.5000, 0.4175, 0.9131) [2 per cell]
Pd (0.0000, 0.3863, 0.2049) [2 per cell]
Pd (0.5000, 0.1050, 0.7107) [2 per cell]


(17)
Computed, not measured: a relaxed structure of Tm3CdPd at the PBE-GGA level of DFT.

Calculated values
For the energy relative to the elements, the calculation gives -31.2 kJ/mol of atoms. The calculation puts the density of states at the Fermi level at 0.9846 states/eV/atom. For the raw total energy, the calculation gives -4.23 eV per atom.

Cell lengths 9.8488, 14.8483, 3.7975 Å; angles 90.00, 90.00, 90.00 degrees
Space group Cmmm (No. 65)
Inequivalent atoms, fractional coordinates:
Tm (0.0000, 0.1719, 0.0000) [4 per cell]
Tm (0.1962, 0.3828, 0.5000) [8 per cell]
Cd (0.0000, 0.0000, 0.5000) [2 per cell]
Cd (0.0000, 0.5000, 0.0000) [2 per cell]
Pd (0.2500, 0.2500, 0.0000) [4 per cell]


(18)
Computed, not measured: a relaxed structure of TmCdPd4 at the PBE-GGA level of DFT.

Calculated values
For the energy relative to the elements, the calculation gives -59.5 kJ/mol of atoms. The calculation puts the density of states at the Fermi level at 0.3896 states/eV/atom. For the raw total energy, the calculation gives -4.98 eV per atom.

Cell lengths 9.4789, 3.8557, 6.1129 Å; angles 90.00, 110.01, 90.00 degrees
Space group C2/m (No. 12)
Inequivalent atoms, fractional coordinates:
Tm (0.0000, 0.0000, 0.0000) [2 per cell]
Cd (0.0000, 0.0000, 0.5000) [2 per cell]
Pd (0.1650, 0.5000, 0.3341) [4 per cell]
Pd (0.1669, 0.5000, 0.8270) [4 per cell]


(19)
Computed, not measured: a relaxed structure of TmCd2Pd3 at the PBE-GGA level of DFT.

Calculated values
For the energy relative to the elements, the calculation gives -60.6 kJ/mol of atoms. The value obtained for the relative energy among the computed polymorphs is 8 meV per atom. The calculation puts the density of states at the Fermi level at 0.5545 states/eV/atom. For the raw total energy, the calculation gives -4.28 eV per atom.

Cell lengths 4.7329, 4.7329, 5.7197 Å; angles 90.00, 90.00, 120.00 degrees
Space group P-3m1 (No. 164)
Inequivalent atoms, fractional coordinates:
Tm (0.0000, 0.0000, 0.0000) [1 per cell]
Cd (0.3333, 0.6667, 0.6655) [2 per cell]
Pd (0.0000, 0.0000, 0.5000) [1 per cell]
Pd (0.3333, 0.6667, 0.1721) [2 per cell]


(20)
Computed, not measured: a relaxed structure of Tm4CdPd at the PBE-GGA level of DFT.

Calculated values
For the energy relative to the elements, the calculation gives -45.1 kJ/mol of atoms. The value obtained for the relative energy among the computed polymorphs is 0 meV per atom. The calculation puts the density of states at the Fermi level at 1.0259 states/eV/atom. For the raw total energy, the calculation gives -4.47 eV per atom.

Cell lengths 13.5100, 13.5100, 13.5100 Å; angles 90.00, 90.00, 90.00 degrees
Space group F-43m (No. 216)
Inequivalent atoms, fractional coordinates:
Tm (0.0000, 0.0000, 0.1843) [24 per cell]
Tm (0.0611, 0.2500, 0.2500) [24 per cell]
Tm (0.1048, 0.1048, 0.6048) [16 per cell]
Cd (0.1673, 0.1673, 0.8327) [16 per cell]
Pd (0.1049, 0.1049, 0.3951) [16 per cell]


(21)
Computed, not measured: a relaxed structure of TmCd2Pd9 at the PBE-GGA level of DFT.

Calculated values
For the energy relative to the elements, the calculation gives -43.9 kJ/mol of atoms. The calculation puts the density of states at the Fermi level at 1.3115 states/eV/atom. For the raw total energy, the calculation gives -4.88 eV per atom.

Cell lengths 4.0446, 4.0446, 12.2151 Å; angles 90.00, 90.00, 90.00 degrees
Space group P4/mmm (No. 123)
Inequivalent atoms, fractional coordinates:
Tm (0.0000, 0.0000, 0.0000) [1 per cell]
Cd (0.0000, 0.0000, 0.3362) [2 per cell]
Pd (0.0000, 0.5000, 0.1692) [4 per cell]
Pd (0.0000, 0.5000, 0.5000) [2 per cell]
Pd (0.5000, 0.5000, 0.0000) [1 per cell]
Pd (0.5000, 0.5000, 0.3335) [2 per cell]